1.
Compound: In4PdAu2
Source: Alexandria via LeMat-Bulk
Functional: PBE-GGA
Structure: relaxed

Values from the calculation:
Fermi-level density of states ... 0.34 states/eV per atom
Symmetry ... No. 166
Total magnetization ... 0.000 μB/atom
DFT total energy ... -3.517 eV per atom
Energy relative to the lowest polymorph listed for this composition ... 0.000 eV per atom
Calculated formation energy ... -274.3 meV/atom

Geometry as POSCAR:
```
In4PdAu2
1.0
-0.576 -2.073 3.795
1.149 -4.190 0.393
9.147 0.636 4.242
In Pd Au
4 1 2
Cartesian
8.683 -3.796 6.765 In
3.901 -5.251 5.246 In
1.038 -1.830 1.665 In
5.820 -0.376 3.184 In
4.860 -2.813 4.215 Pd
2.314 -3.588 3.406 Au
7.407 -2.039 5.024 Au
```



2.
Compound: InPd6Au12
Source: Alexandria via LeMat-Bulk
Functional: PBE-GGA
Structure: relaxed

Values from the calculation:
Fermi-level density of states ... 0.41 states/eV per atom
Symmetry ... No. 148
Total magnetization ... 0.000 μB/atom
DFT total energy ... -3.867 eV per atom
Calculated formation energy ... -12.7 meV/atom

Geometry as POSCAR:
```
InPd6Au12
1.0
-6.547 -1.601 -2.653
0.400 -4.030 6.005
-0.831 6.727 2.553
In Pd Au
1 6 12
Cartesian
0.000 0.000 0.000 In
-5.628 -0.777 4.304 Pd
-2.785 -0.229 0.296 Pd
-1.034 -0.832 2.477 Pd
-1.349 1.873 1.602 Pd
-4.192 1.325 5.609 Pd
-5.943 1.928 3.429 Pd
-5.454 -0.170 1.443 Au
-2.758 -1.098 4.800 Au
-3.244 3.067 3.453 Au
-1.524 1.266 4.462 Au
-4.219 2.194 1.105 Au
-3.733 -1.971 2.452 Au
-6.467 -2.798 2.443 Au
-1.430 -3.387 3.727 Au
-5.042 0.591 -1.279 Au
-0.510 3.894 3.462 Au
-5.547 4.483 2.178 Au
-1.935 0.506 7.184 Au
```



3.
Compound: In2PdAu2
Source: Alexandria via LeMat-Bulk
Functional: PBE-GGA
Structure: relaxed

Values from the calculation:
Fermi-level density of states ... 0.33 states/eV per atom
Symmetry ... No. 127
Total magnetization ... 0.000 μB/atom
DFT total energy ... -3.576 eV per atom
Energy relative to the lowest polymorph listed for this composition ... 0.099 eV per atom
Calculated formation energy ... -131.0 meV/atom

Geometry as POSCAR:
```
In2PdAu2
1.0
7.471 0.000 0.000
0.000 7.471 0.000
0.000 0.000 3.598
Au Pd In
4 2 4
Cartesian
2.729 6.465 0.000 Au
6.465 4.742 0.000 Au
4.742 1.006 0.000 Au
1.006 2.729 0.000 Au
0.000 0.000 0.000 Pd
3.736 3.736 0.000 Pd
1.271 5.007 1.799 In
5.007 6.200 1.799 In
6.200 2.465 1.799 In
2.465 1.271 1.799 In
```



4.
Compound: In8Pd3Au2
Source: Alexandria via LeMat-Bulk
Functional: PBE-GGA
Structure: relaxed

Values from the calculation:
Fermi-level density of states ... 0.40 states/eV per atom
Symmetry ... No. 10
Total magnetization ... 0.000 μB/atom
DFT total energy ... -3.717 eV per atom
Calculated formation energy ... -329.2 meV/atom

Geometry as POSCAR:
```
In8Pd3Au2
1.0
-0.519 0.516 -4.543
3.232 -8.530 -1.338
-7.905 1.832 1.111
In Pd Au
8 3 2
Cartesian
0.151 -4.831 -0.566 In
-5.344 -1.351 -4.204 In
-2.143 -0.111 -4.429 In
-3.049 -6.070 -0.341 In
-4.195 -3.684 -2.270 In
-5.802 0.527 -1.608 In
0.610 -6.709 -3.162 In
-0.997 -2.497 -2.500 In
-0.260 0.258 -2.272 Pd
0.785 -2.077 -0.326 Pd
-5.458 -4.620 0.099 Pd
-3.470 -0.978 -2.045 Au
-1.723 -5.204 -2.725 Au
```



5.
Compound: In2Pd12Au5
Source: Alexandria via LeMat-Bulk
Functional: PBE-GGA
Structure: relaxed

Values from the calculation:
Fermi-level density of states ... 0.59 states/eV per atom
Symmetry ... No. 12
Total magnetization ... 0.000 μB/atom
DFT total energy ... -4.582 eV per atom
Calculated formation energy ... -152.0 meV/atom

Geometry as POSCAR:
```
In2Pd12Au5
1.0
8.496 0.000 0.000
-4.248 6.285 0.839
0.000 -1.046 5.947
In Pd Au
2 12 5
Cartesian
6.471 0.000 0.000 In
2.025 0.000 0.000 In
0.000 0.754 5.573 Pd
-2.117 2.969 5.278 Pd
2.117 2.969 5.278 Pd
-1.967 4.584 3.027 Pd
1.967 4.584 3.027 Pd
0.000 4.924 4.978 Pd
4.248 0.315 1.807 Pd
6.215 0.655 3.759 Pd
2.281 0.655 3.759 Pd
6.365 2.270 1.508 Pd
2.130 2.270 1.508 Pd
4.248 4.486 1.213 Pd
0.000 2.439 3.387 Au
0.000 4.148 1.132 Au
0.000 -0.523 2.973 Au
4.248 1.091 5.654 Au
4.248 2.800 3.398 Au
```



6.
Compound: InPd4Au2
Source: Alexandria via LeMat-Bulk
Functional: PBE-GGA
Structure: relaxed

Values from the calculation:
Fermi-level density of states ... 0.76 states/eV per atom
Symmetry ... No. 139
Total magnetization ... 0.000 μB/atom
DFT total energy ... -4.416 eV per atom
Energy relative to the lowest polymorph listed for this composition ... 0.134 eV per atom
Calculated formation energy ... -121.4 meV/atom

Geometry as POSCAR:
```
InPd4Au2
1.0
5.239 0.175 -1.737
-2.561 4.445 -2.045
0.101 -0.175 5.519
In Pd Au
1 4 2
Cartesian
0.000 0.000 0.000 In
2.620 0.088 -0.868 Pd
1.390 2.222 0.868 Pd
0.050 -0.088 2.759 Pd
-1.280 2.222 -1.023 Pd
1.339 2.310 -1.891 Au
2.670 0.000 1.891 Au
```